[1]
# KInTe2 PBE relaxed
# Energy relative to the elements, uncorrected   -277.2 meV/atom
# Theoretical density   5.307 g/cm3
# Total moment   0.0 μB per formula unit
data_KInTe2
_chemical_formula_sum 'K2 In2 Te4'
_symmetry_space_group_name_H-M 'I -4 m 2'
_symmetry_Int_Tables_number 119
_symmetry_space_group_name_Hall 'I -4 -2'
_cell_length_a 4.714
_cell_length_b 4.714
_cell_length_c 11.520
_cell_angle_alpha 90.00
_cell_angle_beta 90.00
_cell_angle_gamma 90.00
loop_
_atom_site_label
_atom_site_type_symbol
_atom_site_fract_x
_atom_site_fract_y
_atom_site_fract_z
_atom_site_occupancy
K1 K 0.000 0.000 0.000 1
In1 In 0.000 0.500 0.250 1
Te1 Te 0.000 0.000 0.500 1
Te2 Te 0.000 0.500 0.750 1

=====

[2]
# GaSiOF2 PBE relaxed
# Excess energy over the best structure of this formula in the dataset   432 meV/atom
# Energy relative to the elements, uncorrected   -1160.9 meV/atom
# Theoretical density   3.940 g/cm3
# Total moment   0.0 μB per formula unit
data_GaSiOF2
_chemical_formula_sum 'Ga1 Si1 O1 F2'
_symmetry_space_group_name_H-M 'P 4/m m m'
_symmetry_Int_Tables_number 123
_symmetry_space_group_name_Hall '-P 4 2'
_cell_length_a 4.173
_cell_length_b 4.173
_cell_length_c 3.675
_cell_angle_alpha 90.00
_cell_angle_beta 90.00
_cell_angle_gamma 90.00
loop_
_atom_site_label
_atom_site_type_symbol
_atom_site_fract_x
_atom_site_fract_y
_atom_site_fract_z
_atom_site_occupancy
Ga1 Ga 0.000 0.000 0.000 1
Si1 Si 0.500 0.500 0.500 1
O1 O 0.000 0.000 0.500 1
F1 F 0.000 0.500 0.000 1

=====

[3]
# Ce3Cd2Pb3 PBE relaxed
# ΔE_f   -28.25 kJ/mol of atoms
# Theoretical density   9.318 g/cm3
# Total moment   3.7 μB per formula unit
data_Ce3Cd2Pb3
_chemical_formula_sum 'Ce6 Cd4 Pb6'
_symmetry_space_group_name_H-M 'I m m m'
_symmetry_Int_Tables_number 71
_symmetry_space_group_name_Hall '-I 2 2'
_cell_length_a 4.644
_cell_length_b 4.808
_cell_length_c 20.222
_cell_angle_alpha 90.00
_cell_angle_beta 90.00
_cell_angle_gamma 90.00
loop_
_atom_site_label
_atom_site_type_symbol
_atom_site_fract_x
_atom_site_fract_y
_atom_site_fract_z
_atom_site_occupancy
Ce1 Ce 0.000 0.000 0.000 1
Ce2 Ce 0.000 0.500 0.131 1
Cd1 Cd 0.000 0.000 0.251 1
Pb1 Pb 0.000 0.000 0.500 1
Pb2 Pb 0.000 0.500 0.366 1

=====

[4]
# AcHoIn2S6 PBE relaxed
# Energy relative to the elements, uncorrected   -1271.3 meV/atom
# Theoretical density   5.303 g/cm3
# Total moment   0.0 μB per formula unit
data_AcHoIn2S6
_chemical_formula_sum 'Ac3 Ho3 In6 S18'
_symmetry_space_group_name_H-M 'R 3'
_symmetry_Int_Tables_number 146
_symmetry_space_group_name_Hall 'R 3'
_cell_length_a 6.9814
_cell_length_b 6.9814
_cell_length_c 18.1144
_cell_angle_alpha 90.00
_cell_angle_beta 90.00
_cell_angle_gamma 120.00
loop_
_atom_site_label
_atom_site_type_symbol
_atom_site_fract_x
_atom_site_fract_y
_atom_site_fract_z
_atom_site_occupancy
Ac1 Ac 0.0000 0.0000 0.0000 1
Ho1 Ho 0.0000 0.0000 0.4856 1
In1 In 0.0000 0.0000 0.2739 1
In2 In 0.0000 0.0000 0.7819 1
S1 S 0.0192 0.3722 0.5452 1
S2 S 0.0254 0.6126 0.0483 1